(1)
PBE Ba2Hg2O, optimized geometry; crystal system = tetragonal; DFT total energy = -3.0507 eV/atom; density of states at the Fermi level = 2.18 states/eV/f.u.
1.0
-3.019 -2.638 1.459
1.772 -3.223 -2.161
11.074 -1.027 14.824
Ba Hg O
4 4 2
Direct
0.960 0.460 0.919
0.710 0.710 0.419
0.290 0.290 0.581
0.540 0.040 0.081
0.847 0.847 0.694
0.097 0.597 0.194
0.403 0.903 0.806
0.153 0.153 0.306
0.500 0.500 0.000
0.750 0.250 0.500

(2)
PBE CdIn2AgHg, optimized geometry; crystal system = tetragonal; DFT total energy = -1.8136 eV/atom; density of states at the Fermi level = 1.16 states/eV/f.u.; energy of formation = 95 meV per atom
1.0
4.074 0.000 0.000
0.000 4.074 0.000
0.000 0.000 14.921
Cd In Ag Hg
2 4 2 2
Direct
0.500 0.000 0.745
0.000 0.500 0.255
0.000 0.500 0.665
0.000 0.500 0.057
0.500 0.000 0.943
0.500 0.000 0.335
0.500 0.000 0.137
0.000 0.500 0.863
0.000 0.000 0.500
0.500 0.500 0.500

(3)
PBE ScGa2H2, optimized geometry; crystal system = tetragonal; DFT total energy = -4.0393 eV/atom; density of states at the Fermi level = 1.23 states/eV/f.u.
1.0
-1.250 -4.089 -3.830
3.497 -3.636 2.740
-3.054 -1.212 2.290
Sc H Ga
2 4 4
Direct
0.000 0.000 0.000
0.500 0.500 0.000
0.249 0.749 0.000
0.749 0.751 0.000
0.751 0.251 0.000
0.251 0.249 0.000
0.250 0.750 0.500
0.750 0.750 0.500
0.750 0.250 0.500
0.250 0.250 0.500

(4)
PBE NbV6Ru, optimized geometry; crystal system = trigonal; DFT total energy = -9.1624 eV/atom; density of states at the Fermi level = 9.74 states/eV/f.u.; energy of formation = 95 meV per atom
1.0
-5.390 -0.402 0.128
2.291 -4.850 0.674
1.743 3.472 3.760
Nb V Ru
1 6 1
Direct
0.000 0.000 0.000
0.252 0.745 0.252
0.252 0.252 0.745
0.748 0.255 0.748
0.255 0.748 0.748
0.748 0.748 0.255
0.745 0.252 0.252
0.500 0.500 0.500

(5)
PBE HfZr2TaCo, optimized geometry; crystal system = tetragonal; DFT total energy = -8.1962 eV/atom; density of states at the Fermi level = 8.34 states/eV/f.u.; energy of formation = 1005 meV per atom
1.0
5.095 0.000 0.000
0.000 4.433 0.000
0.000 0.000 5.095
Co Hf Zr Ta
1 1 2 1
Direct
0.000 0.500 0.000
0.500 0.500 0.500
0.000 0.000 0.500
0.500 0.000 0.000
0.000 0.000 0.000

(6)
PBE AcPmNdSe3, optimized geometry; crystal system = monoclinic; DFT total energy = -5.6924 eV/atom; density of states at the Fermi level = 2.53 states/eV/f.u.
1.0
-0.678 1.845 3.767
-8.116 -1.681 -0.638
3.971 -8.614 4.934
Ac Pm Nd Se
2 2 2 6
Direct
0.250 0.185 0.209
0.750 0.815 0.791
0.250 0.659 0.095
0.750 0.341 0.905
0.250 0.172 0.622
0.750 0.828 0.378
0.750 0.905 0.109
0.250 0.095 0.891
0.250 0.799 0.565
0.750 0.201 0.435
0.750 0.472 0.193
0.250 0.528 0.807

(7)
PBE SmHf2ScN4, optimized geometry; crystal system = orthorhombic; DFT total energy = -9.7746 eV/atom; density of states at the Fermi level = 3.03 states/eV/f.u.
1.0
-2.256 -6.086 1.189
4.401 -0.678 4.870
-4.150 5.084 0.036
Sm Hf Sc N
2 4 2 8
Direct
0.000 0.500 0.000
0.000 0.500 0.500
0.500 0.000 0.000
0.500 0.000 0.500
0.000 0.000 0.500
0.500 0.500 0.000
0.500 0.500 0.500
0.000 0.000 0.000
0.276 0.769 0.023
0.731 0.224 0.477
0.269 0.776 0.523
0.724 0.231 0.977
0.739 0.761 0.006
0.739 0.761 0.494
0.261 0.239 0.506
0.261 0.239 0.994

(8)
PBE Li2TbNdTl4, optimized geometry; crystal system = trigonal; DFT total energy = -3.1659 eV/atom; density of states at the Fermi level = 1.68 states/eV/f.u.; energy of formation = -330 meV per atom
1.0
-0.848 4.636 -2.301
-2.812 3.676 2.467
5.919 5.842 3.615
Li Tb Nd Tl
2 1 1 4
Direct
0.751 0.751 0.748
0.249 0.249 0.252
0.500 0.500 0.500
0.000 0.000 0.000
0.377 0.377 0.870
0.873 0.873 0.381
0.127 0.127 0.619
0.623 0.623 0.130

(9)
PBE Ac2CuPdAu6, optimized geometry; crystal system = triclinic; DFT total energy = -4.2169 eV/atom; density of states at the Fermi level = 4.94 states/eV/f.u.; energy of formation = -500 meV per atom
1.0
7.151 0.310 -1.304
0.400 6.822 -1.226
2.709 2.745 3.909
Ac Cu Pd Au
2 1 1 6
Direct
0.801 0.267 0.467
0.199 0.733 0.533
0.500 0.500 0.000
0.000 0.000 0.000
0.248 0.273 0.489
0.752 0.725 0.012
0.406 0.905 0.844
0.594 0.095 0.156
0.248 0.275 0.988
0.752 0.727 0.511

(10)
PBE Sr6Au2S, optimized geometry; crystal system = orthorhombic; DFT total energy = -3.1054 eV/atom; density of states at the Fermi level = 4.43 states/eV/f.u.
1.0
7.216 0.000 0.000
0.000 7.713 -0.405
0.000 0.685 13.156
Sr Au S
12 4 2
Direct
0.241 0.165 0.661
0.241 0.164 0.339
0.262 0.171 0.000
0.762 0.329 0.500
0.741 0.336 0.161
0.741 0.335 0.839
0.759 0.835 0.339
0.759 0.836 0.661
0.738 0.829 0.000
0.238 0.671 0.500
0.259 0.664 0.839
0.259 0.665 0.161
0.500 0.000 0.175
0.000 0.500 0.325
0.000 0.500 0.675
0.500 0.000 0.825
0.500 0.500 0.000
0.000 0.000 0.500

(11)
PBE VNi2I, optimized geometry; crystal system = tetragonal; DFT total energy = -4.9730 eV/atom; density of states at the Fermi level = 2.39 states/eV/f.u.; energy above the lowest structure with this stoichiometry = 0.000 eV/atom
1.0
-2.793 -6.149 -1.599
5.152 -1.170 -4.501
2.569 -4.780 -1.169
I Ni V
2 4 2
Direct
0.000 0.000 0.000
0.750 0.250 0.500
0.619 0.125 0.250
0.131 0.625 0.250
0.375 0.381 0.750
0.875 0.869 0.750
0.500 0.500 0.000
0.250 0.750 0.500

(12)
PBE Dy2HoZrP4, optimized geometry; crystal system = monoclinic; DFT total energy = -7.0504 eV/atom; density of states at the Fermi level = 1.52 states/eV/f.u.; energy of formation = -1554 meV per atom
1.0
-1.216 -2.124 -3.063
6.447 -0.814 -1.995
-1.710 -5.071 4.195
Dy Ho Zr P
2 1 1 4
Direct
0.500 0.000 0.500
0.000 0.500 0.500
0.500 0.500 0.000
0.000 0.000 0.000
0.500 0.240 0.239
0.500 0.760 0.761
0.000 0.245 0.757
0.000 0.755 0.243